Entry from the Alexandria database: a relaxed NaAsPdRu crystal (PBE). Values from VASP.

**ΔH_f (0 K)**: -0.1245 eV/atom
**V**: 161 Å³ per cell
**Uncorrected energy**: -41.871 eV per cell

```
&SYSTEM
  ibrav = 0, nat = 8, ntyp = 4
/
ATOMIC_SPECIES
Na 22.99 Na.upf
As 74.92 As.upf
Pd 106.42 Pd.upf
Ru 101.07 Ru.upf
ATOMIC_POSITIONS angstrom
Na 0.971 0.971 2.351
Na 2.914 2.914 8.336
As 0.971 0.971 6.840
As 2.914 2.914 3.846
Pd 0.971 2.914 0.000
Pd 2.914 0.971 0.000
Ru 0.971 2.914 5.343
Ru 2.914 0.971 5.343
CELL_PARAMETERS angstrom
3.885 0.000 0.000
0.000 3.885 0.000
0.000 0.000 10.686
```